Re2HgTe | PBE-GGA | optimized geometry

a = 4.6303 Å, b = 4.6303 Å, c = 3.2864 Å
α = 90.00°, β = 90.00°, γ = 90.00°
Closest atoms and distances in Å follow each position.
Space group P4/mmm (No. 123)
Unique sites:
Re 0.0000 0.5000 0.0000 [2 per cell]  4 Te 2.84, 4 Hg 2.84
Hg 0.0000 0.0000 0.5000 [1 per cell]  8 Re 2.84
Te 0.5000 0.5000 0.5000 [1 per cell]  8 Re 2.84

Calculated values
- Calculated total energy: -23.96 eV for the cell shown
- Offset from the most stable computed form: 2.92 eV/f.u.
- E_form (uncorrected): 1.10 eV/atom

CaZnH8Rh4 | PBE-GGA | optimized geometry

a = 5.7199 Å, b = 5.7199 Å, c = 13.4618 Å
α = 90.00°, β = 90.00°, γ = 120.00°
Closest atoms and distances in Å follow each position.
Space group R3m (No. 160, hexagonal axes)
Unique sites:
Ca 0.0000 0.0000 0.0000 [3 per cell]  4 H 2.15-2.16
Zn 0.0000 0.0000 0.6084 [3 per cell]  3 H 2.01
H 0.0000 0.0000 0.3796 [3 per cell]  4 Rh 1.79-1.90
H 0.0000 0.0000 0.8401 [3 per cell]  3 Rh 1.83, 3 H 2.03
H 0.0523 0.5261 0.8325 [9 per cell]  3 Rh 1.77-1.90
H 0.0745 0.5373 0.3900 [9 per cell]  2 Rh 1.73
Rh 0.0000 0.0000 0.2470 [3 per cell]  4 H 1.77-1.79
Rh 0.0041 0.5021 0.1186 [9 per cell]  6 H 1.73-1.90

Calculated values
- Calculated total energy: -185.87 eV for the cell shown

BaHoPu4N8 | PBE-GGA | optimized geometry

a = 6.9390 Å, b = 6.9390 Å, c = 16.9224 Å
α = 90.00°, β = 90.00°, γ = 120.00°
Closest atoms and distances in Å follow each position.
Space group R3m (No. 160, hexagonal axes)
Unique sites:
Ba 0.0000 0.0000 0.0000 [3 per cell]  4 N 2.57-2.60
Ho 0.0000 0.0000 0.6227 [3 per cell]  6 N 2.35-2.41
Pu 0.0000 0.0000 0.2429 [3 per cell]  4 N 2.31-2.41
Pu 0.1684 0.3367 0.4557 [9 per cell]  6 N 2.14-2.35
N 0.0000 0.0000 0.3853 [3 per cell]  4 Pu 2.35-2.41
N 0.0000 0.0000 0.8463 [3 per cell]  3 Pu 2.21
N 0.0635 0.5317 0.3896 [9 per cell]  2 Pu 2.14, 1 Ho 2.35
N 0.1808 0.3615 0.1966 [9 per cell]  3 Pu 2.31, 1 Ho 2.41

Calculated values
- Calculated total energy: -434.94 eV for the cell shown
- E_form (uncorrected): -1.04 eV/atom

FeNiSb6 | PBE-GGA | optimized geometry

a = 12.9195 Å, b = 9.1575 Å, c = 9.1541 Å
α = 90.00°, β = 134.84°, γ = 90.00°
Closest atoms and distances in Å follow each position.
Space group C2/m (No. 12)
Unique sites:
Fe 0.2500 0.2500 0.0000 [4 per cell]  6 Sb 2.52-2.53
Ni 0.2500 0.2500 0.5000 [4 per cell]  6 Sb 2.58-2.59
Sb 0.0042 0.1594 0.6697 [8 per cell]  1 Fe 2.52, 1 Ni 2.59
Sb 0.1590 0.3345 0.1556 [8 per cell]  1 Fe 2.52, 1 Ni 2.59
Sb 0.1589 0.5000 0.5013 [4 per cell]  2 Ni 2.58
Sb 0.1735 0.5000 0.8341 [4 per cell]  2 Fe 2.53

Calculated values
- Calculated total energy: -160.22 eV for the cell shown
- E_form (uncorrected): -0.13 eV/atom

- Which value of calculated total energy does entry 3 give?
  -434.94 eV for the cell shown